A relaxed structure of SrCaNi4O12, computed with PBE+U.

## Properties
Space group: P4/mmm, No. 123
Uncorrected energy (eV/atom): -4.64

Unit cell a=5.3833 b=5.3833 c=7.6469 alpha=90.00 beta=90.00 gamma=90.00
Last column: nearest neighbours and their distance in Å.
Sites, in units of the cell vectors:
Sr (0.0000, 0.0000, 0.0000)  12 O 2.69-2.77
Ca (0.5000, 0.5000, 0.5000)  12 O 2.63-2.69
Ni (0.0000, 0.5000, 0.2509)  6 O 1.90-1.92
Ni (0.0000, 0.5000, 0.7491)  6 O 1.90-1.92
Ni (0.5000, 0.0000, 0.2509)  6 O 1.90-1.92
Ni (0.5000, 0.0000, 0.7491)  6 O 1.90-1.92
O (0.0000, 0.5000, 0.0000)  2 Ni 1.92
O (0.0000, 0.5000, 0.5000)  2 Ni 1.91
O (0.2551, 0.2551, 0.2581)  2 Ni 1.90
O (0.2551, 0.2551, 0.7419)  2 Ni 1.90
O (0.2551, 0.7449, 0.2581)  2 Ni 1.90
O (0.2551, 0.7449, 0.7419)  2 Ni 1.90
O (0.5000, 0.0000, 0.0000)  2 Ni 1.92
O (0.5000, 0.0000, 0.5000)  2 Ni 1.91
O (0.7449, 0.2551, 0.2581)  2 Ni 1.90
O (0.7449, 0.2551, 0.7419)  2 Ni 1.90
O (0.7449, 0.7449, 0.2581)  2 Ni 1.90
O (0.7449, 0.7449, 0.7419)  2 Ni 1.90